A plane-wave DFT calculation with GGA+U was carried out for crystalline MoH2F at its relaxed geometry.

abc: 6.982 6.982 4.203
angles: 90.00 90.00 90.00
Element x y z (fractional)
Mo (0.000, 0.000, 0.000)
Mo (0.000, 0.500, 0.250)
Mo (0.500, 0.000, 0.750)
Mo (0.500, 0.500, 0.500)
H (0.090, 0.750, 0.125)
H (0.250, 0.090, 0.875)
H (0.250, 0.410, 0.375)
H (0.410, 0.750, 0.625)
H (0.590, 0.250, 0.625)
H (0.750, 0.590, 0.375)
H (0.750, 0.910, 0.875)
H (0.910, 0.250, 0.125)
F (0.000, 0.000, 0.500)
F (0.000, 0.500, 0.750)
F (0.500, 0.000, 0.250)
F (0.500, 0.500, 0.000)



A plane-wave DFT calculation with GGA+U was carried out for crystalline MoHF6 at its relaxed geometry.

abc: 5.090 5.143 5.143
angles: 116.85 94.85 110.22
Element x y z (fractional)
Mo (0.000, 0.000, 0.000)
H (0.500, 0.500, 0.000)
F (0.213, 0.791, 0.770)
F (0.232, 0.108, 0.369)
F (0.277, 0.424, 0.047)
F (0.723, 0.576, 0.953)
F (0.768, 0.892, 0.631)
F (0.787, 0.209, 0.230)



A plane-wave DFT calculation with GGA+U was carried out for crystalline MoH3F at its relaxed geometry.

abc: 3.656 3.656 3.656
angles: 90.00 90.00 90.00
Element x y z (fractional)
Mo (0.000, 0.000, 0.000)
H (0.000, 0.000, 0.500)
H (0.000, 0.500, 0.000)
H (0.500, 0.000, 0.000)
F (0.500, 0.500, 0.500)



A plane-wave DFT calculation with GGA+U was carried out for crystalline MoH2F at its relaxed geometry.

abc: 5.139 5.139 5.139
angles: 90.00 90.00 90.00
Element x y z (fractional)
Mo (0.000, 0.000, 0.000)
Mo (0.000, 0.500, 0.500)
Mo (0.500, 0.000, 0.500)
Mo (0.500, 0.500, 0.000)
H (0.250, 0.250, 0.250)
H (0.250, 0.250, 0.750)
H (0.250, 0.750, 0.250)
H (0.250, 0.750, 0.750)
H (0.750, 0.250, 0.250)
H (0.750, 0.250, 0.750)
H (0.750, 0.750, 0.250)
H (0.750, 0.750, 0.750)
F (0.000, 0.000, 0.500)
F (0.000, 0.500, 0.000)
F (0.500, 0.000, 0.000)
F (0.500, 0.500, 0.500)



A plane-wave DFT calculation with GGA+U was carried out for crystalline MoHF2 at its relaxed geometry.

abc: 2.692 2.692 18.229
angles: 90.00 90.00 120.00
Element x y z (fractional)
Mo (0.000, 0.000, 0.000)
Mo (0.333, 0.667, 0.667)
Mo (0.667, 0.333, 0.333)
H (0.000, 0.000, 0.500)
H (0.333, 0.667, 0.167)
H (0.667, 0.333, 0.833)
F (0.000, 0.000, 0.114)
F (0.000, 0.000, 0.886)
F (0.333, 0.667, 0.553)
F (0.333, 0.667, 0.781)
F (0.667, 0.333, 0.219)
F (0.667, 0.333, 0.447)



A plane-wave DFT calculation with GGA+U was carried out for crystalline Mo2HF at its relaxed geometry.

abc: 6.423 6.423 6.423
angles: 90.00 90.00 90.00
Element x y z (fractional)
Mo (0.250, 0.250, 0.250)
Mo (0.250, 0.250, 0.750)
Mo (0.250, 0.750, 0.250)
Mo (0.250, 0.750, 0.750)
Mo (0.750, 0.250, 0.250)
Mo (0.750, 0.250, 0.750)
Mo (0.750, 0.750, 0.250)
Mo (0.750, 0.750, 0.750)
H (0.000, 0.000, 0.000)
H (0.000, 0.500, 0.500)
H (0.500, 0.000, 0.500)
H (0.500, 0.500, 0.000)
F (0.000, 0.000, 0.500)
F (0.000, 0.500, 0.000)
F (0.500, 0.000, 0.000)
F (0.500, 0.500, 0.500)



A plane-wave DFT calculation with GGA+U was carried out for crystalline Mo2HF at its relaxed geometry.

abc: 4.525 4.525 10.252
angles: 90.00 90.00 90.00
Element x y z (fractional)
Mo (0.175, 0.250, 0.125)
Mo (0.250, 0.675, 0.375)
Mo (0.250, 0.825, 0.875)
Mo (0.325, 0.250, 0.625)
Mo (0.675, 0.750, 0.625)
Mo (0.750, 0.175, 0.875)
Mo (0.750, 0.325, 0.375)
Mo (0.825, 0.750, 0.125)
H (0.000, 0.000, 0.000)
H (0.000, 0.500, 0.250)
H (0.500, 0.000, 0.750)
H (0.500, 0.500, 0.500)
F (0.000, 0.000, 0.500)
F (0.000, 0.500, 0.750)
F (0.500, 0.000, 0.250)
F (0.500, 0.500, 0.000)



A plane-wave DFT calculation with GGA+U was carried out for crystalline MoH2F6 at its relaxed geometry.

abc: 7.286 7.286 4.914
angles: 96.25 96.25 83.87
Element x y z (fractional)
Mo (0.120, 0.880, 0.750)
Mo (0.880, 0.120, 0.250)
H (0.355, 0.374, 0.558)
H (0.374, 0.355, 0.058)
H (0.626, 0.645, 0.942)
H (0.645, 0.626, 0.442)
F (0.055, 0.154, 0.590)
F (0.152, 0.645, 0.893)
F (0.154, 0.055, 0.090)
F (0.307, 0.416, 0.381)
F (0.355, 0.848, 0.607)
F (0.416, 0.307, 0.881)
F (0.584, 0.693, 0.119)
F (0.645, 0.152, 0.393)
F (0.693, 0.584, 0.619)
F (0.846, 0.945, 0.910)
F (0.848, 0.355, 0.107)
F (0.945, 0.846, 0.410)



A plane-wave DFT calculation with GGA+U was carried out for crystalline MoH2F6 at its relaxed geometry.

abc: 6.779 6.779 5.309
angles: 104.01 104.01 83.30
Element x y z (fractional)
Mo (0.247, 0.753, 0.750)
Mo (0.753, 0.247, 0.250)
H (0.167, 0.339, 0.499)
H (0.339, 0.167, 0.999)
H (0.661, 0.833, 0.001)
H (0.833, 0.661, 0.501)
F (0.047, 0.217, 0.467)
F (0.149, 0.635, 0.986)
F (0.217, 0.047, 0.967)
F (0.277, 0.457, 0.526)
F (0.365, 0.851, 0.514)
F (0.457, 0.277, 0.026)
F (0.543, 0.723, 0.974)
F (0.635, 0.149, 0.486)
F (0.723, 0.543, 0.474)
F (0.783, 0.953, 0.033)
F (0.851, 0.365, 0.014)
F (0.953, 0.783, 0.533)



A plane-wave DFT calculation with GGA+U was carried out for crystalline Mo2HF8 at its relaxed geometry.

abc: 5.910 5.910 4.665
angles: 94.88 94.88 68.44
Element x y z (fractional)
Mo (0.250, 0.250, 0.005)
Mo (0.750, 0.750, 0.995)
H (0.500, 0.500, 0.500)
F (0.110, 0.606, 0.868)
F (0.137, 0.137, 0.640)
F (0.393, 0.393, 0.373)
F (0.394, 0.890, 0.132)
F (0.606, 0.110, 0.868)
F (0.607, 0.607, 0.627)
F (0.863, 0.863, 0.360)
F (0.890, 0.394, 0.132)



A plane-wave DFT calculation with GGA+U was carried out for crystalline MoH2F8 at its relaxed geometry.

abc: 5.792 5.792 5.963
angles: 92.94 92.94 56.70
Element x y z (fractional)
Mo (0.000, 0.000, 0.000)
H (0.242, 0.242, 0.469)
H (0.758, 0.758, 0.531)
F (0.096, 0.096, 0.279)
F (0.129, 0.651, 0.105)
F (0.310, 0.310, 0.584)
F (0.349, 0.871, 0.895)
F (0.651, 0.129, 0.105)
F (0.690, 0.690, 0.416)
F (0.871, 0.349, 0.895)
F (0.904, 0.904, 0.721)



A plane-wave DFT calculation with GGA+U was carried out for crystalline MoHF4 at its relaxed geometry.

abc: 5.789 5.789 6.655
angles: 107.67 107.67 54.39
Element x y z (fractional)
Mo (0.021, 0.979, 0.750)
Mo (0.979, 0.021, 0.250)
H (0.000, 0.500, 0.500)
H (0.500, 0.000, 0.000)
F (0.149, 0.283, 0.401)
F (0.240, 0.754, 0.011)
F (0.246, 0.760, 0.489)
F (0.283, 0.149, 0.901)
F (0.717, 0.851, 0.099)
F (0.754, 0.240, 0.511)
F (0.760, 0.246, 0.989)
F (0.851, 0.717, 0.599)



| no. | VASP energy (eV per atom) |
| --- | --- |
| 1 | -4.3232 |
| 2 | -4.8582 |
| 3 | -3.4979 |
| 4 | -3.8527 |
| 5 | -3.8657 |
| 6 | -4.1506 |
| 7 | -4.2975 |
| 8 | -4.7740 |
| 9 | -4.8172 |
| 10 | -5.1581 |
| 11 | -4.6129 |
| 12 | -5.1568 |